No. 1
This record from Alexandria via LeMat-Bulk describes a relaxed structure of La2PrHo3Te6. The functional is PBE-GGA.

POSCAR file:
```
La2PrHo3Te6
1.0
-1.4569 3.6349 -2.0059
-5.2916 1.7825 7.0733
9.1920 2.6529 2.9567
Te Ho Pr La
6 3 1 2
Direct
0.6702 0.0707 0.3403
0.3370 0.4080 0.6739
0.6630 0.5920 0.3261
0.0048 0.7412 0.0096
0.9952 0.2589 0.9904
0.3298 0.9293 0.6597
0.8334 0.1678 0.6667
0.1666 0.8322 0.3333
0.5000 0.5000 0.0000
0.5000 0.0000 0.0000
0.1652 0.3295 0.3303
0.8348 0.6705 0.6697
```

Results
The total energy is -5.338 eV/atom. Its space group is C2/m, No. 12.


No. 2
This record from Alexandria via LeMat-Bulk describes a relaxed structure of Th3TeC2. The functional is PBE-GGA.

POSCAR file:
```
Th3TeC2
1.0
-3.0473 0.4726 -2.6570
-3.0159 -2.0695 6.2088
-0.9297 9.7630 2.8026
C Te Th
4 2 6
Direct
0.0000 0.0000 0.0000
0.5315 0.0630 0.2500
0.4685 0.9370 0.7500
0.0000 0.0000 0.5000
0.2526 0.5052 0.2500
0.7474 0.4948 0.7500
0.0579 0.1158 0.7500
0.3802 0.7604 0.5583
0.3802 0.7604 0.9417
0.9421 0.8842 0.2500
0.6198 0.2396 0.0583
0.6198 0.2396 0.4417
```

Results
The excess energy over the best structure of this formula in the dataset comes out at 0.000 eV/atom. Its space group is Cmcm, No. 63.